## CaYZn3 (SCAN)

Data for a crystal of CaYZn3 relaxed with PBEsol.

crystal system = cubic

Structure (extended XYZ):
```
5
Lattice="5.280 0.000 0.000 0.000 5.280 0.000 0.000 0.000 5.280" Properties=species:S:1:pos:R:3 pbc="T T T"
Ca 0.000 0.000 0.000
Y 2.640 2.640 2.640
Zn 0.000 2.640 2.640
Zn 2.640 0.000 2.640
Zn 2.640 2.640 0.000
```

---

## CaYZn (SCAN)

Data for a crystal of CaYZn relaxed with PBEsol.

energy above the lowest structure with this stoichiometry = 0 meV/atom
crystal system = tetragonal

Structure (extended XYZ):
```
3
Lattice="-1.779 1.779 6.370 1.779 -1.779 6.370 1.779 1.779 -6.370" Properties=species:S:1:pos:R:3 pbc="T T T"
Ca 0.000 0.000 0.000
Y 0.000 0.000 3.493
Zn 0.000 0.000 8.271
```

---

## CaYZn (SCAN)

Data for a crystal of CaYZn relaxed with PBEsol.

energy above the lowest structure with this stoichiometry = 787 meV/atom
crystal system = cubic

Structure (extended XYZ):
```
3
Lattice="0.000 3.478 3.478 3.478 0.000 3.478 3.478 3.478 0.000" Properties=species:S:1:pos:R:3 pbc="T T T"
Ca 0.000 0.000 0.000
Y 5.216 5.216 5.216
Zn 3.478 3.478 3.478
```

---

## CaY2Zr (SCAN)

Data for a crystal of CaY2Zr relaxed with PBEsol.

energy above the lowest structure with this stoichiometry = 83 meV/atom
crystal system = monoclinic

Structure (extended XYZ):
```
4
Lattice="5.585 -1.694 0.000 5.585 1.694 0.000 -1.016 0.000 6.144" Properties=species:S:1:pos:R:3 pbc="T T T"
Ca 0.000 0.000 0.000
Y 1.958 0.000 4.465
Y 8.196 0.000 1.680
Zr 5.077 0.000 3.072
```

---

## Ca2YZr (SCAN)

Data for a crystal of Ca2YZr relaxed with PBEsol.

energy above the lowest structure with this stoichiometry = 43 meV/atom
crystal system = orthorhombic

Structure (extended XYZ):
```
4
Lattice="3.370 -5.323 0.000 3.370 5.323 0.000 0.000 0.000 3.350" Properties=species:S:1:pos:R:3 pbc="T T T"
Ca 1.685 2.661 0.000
Ca 1.685 -2.661 0.000
Y 0.000 0.000 1.675
Zr 3.370 0.000 1.675
```

---

## Ca3YZr (SCAN)

Data for a crystal of Ca3YZr relaxed with PBEsol.

crystal system = cubic

Structure (extended XYZ):
```
5
Lattice="5.557 0.000 0.000 0.000 5.557 0.000 0.000 0.000 5.557" Properties=species:S:1:pos:R:3 pbc="T T T"
Ca 0.000 0.000 2.779
Ca 0.000 2.779 0.000
Ca 2.779 0.000 0.000
Y 0.000 0.000 0.000
Zr 2.779 2.779 2.779
```

---

## CaY2Zr (SCAN)

Data for a crystal of CaY2Zr relaxed with PBEsol.

energy above the lowest structure with this stoichiometry = 26 meV/atom
crystal system = orthorhombic

Structure (extended XYZ):
```
4
Lattice="3.460 0.000 0.000 0.000 4.559 0.000 0.000 0.000 7.478" Properties=species:S:1:pos:R:3 pbc="T T T"
Ca 0.000 0.000 0.000
Y 1.730 2.280 2.126
Y 1.730 2.280 5.352
Zr 0.000 0.000 3.739
```

---

## Ca2YZr (SCAN)

Data for a crystal of Ca2YZr relaxed with PBEsol.

energy above the lowest structure with this stoichiometry = 7 meV/atom
crystal system = orthorhombic

Structure (extended XYZ):
```
4
Lattice="-1.796 2.831 6.028 1.796 -2.831 6.028 1.796 2.831 -6.028" Properties=species:S:1:pos:R:3 pbc="T T T"
Ca 0.000 0.000 2.833
Ca 0.000 0.000 9.222
Y 0.000 2.831 0.000
Zr 1.796 0.000 0.000
```

---

In order of appearance, spin magnetization = 0.000; 0.097; 0.000; 0.001; 2.863; 0.699; 0.057; 1.667 μB/cell.
In order of appearance, ΔE_f = 235; -64; 164; 94; 146; 597; 72; 132 kJ/mol of formula units.